Arrangement a

VASP calculation (PBE) on crystalline Cr2CdCo2 at its relaxed geometry.

Unit cell a=7.088 b=7.088 c=2.576 alpha=90.00 beta=90.00 gamma=90.00
Space group P4/mbm (No. 127)
Inequivalent atoms, fractional coordinates:
Cr 0.112 0.388 0.000 (multiplicity 4)
Cd 0.000 0.000 0.000 (multiplicity 2)
Co 0.172 0.672 0.500 (multiplicity 4)

Arrangement b

VASP calculation (PBE) on crystalline Cr2CdCo2 at its relaxed geometry.

Unit cell a=7.029 b=7.029 c=2.581 alpha=90.00 beta=90.00 gamma=90.00
Space group P4/mbm (No. 127)
Inequivalent atoms, fractional coordinates:
Cr 0.165 0.335 0.000 (multiplicity 4)
Cd 0.000 0.000 0.500 (multiplicity 2)
Co 0.124 0.624 0.500 (multiplicity 4)

Stability check: which of them is least stable? arrangement a.

Arrangement a

VASP calculation (PBE) on crystalline CrCdCo2Si at its relaxed geometry.

Unit cell a=4.271 b=4.271 c=4.421 alpha=90.00 beta=90.00 gamma=90.00
Space group P4/mmm (No. 123)
Inequivalent atoms, fractional coordinates:
Cr 0.000 0.000 0.000 (multiplicity 1)
Cd 0.500 0.500 0.500 (multiplicity 1)
Co 0.000 0.500 0.000 (multiplicity 2)
Si 0.000 0.000 0.500 (multiplicity 1)

Arrangement b

VASP calculation (PBE) on crystalline CrCdCo2Si at its relaxed geometry.

Unit cell a=4.674 b=4.674 c=4.902 alpha=90.00 beta=90.00 gamma=90.00
Space group P4/mmm (No. 123)
Inequivalent atoms, fractional coordinates:
Cr 0.000 0.000 0.000 (multiplicity 1)
Cd 0.000 0.000 0.500 (multiplicity 1)
Co 0.000 0.500 0.500 (multiplicity 2)
Si 0.500 0.500 0.000 (multiplicity 1)

Stability check: which of them is least stable? arrangement b.

Arrangement a

VASP calculation (PBE) on crystalline CsCd3Co at its relaxed geometry.

Unit cell a=7.444 b=7.444 c=7.444 alpha=90.00 beta=90.00 gamma=90.00
Space group Pm-3m (No. 221)
Inequivalent atoms, fractional coordinates:
Cs 0.000 0.000 0.000 (multiplicity 1)
Cd 0.000 0.000 0.500 (multiplicity 3)
Co 0.500 0.500 0.500 (multiplicity 1)

Arrangement b

VASP calculation (PBE) on crystalline CsCd3Co at its relaxed geometry.

Unit cell a=5.239 b=5.239 c=5.239 alpha=90.00 beta=90.00 gamma=90.00
Space group Pm-3m (No. 221)
Inequivalent atoms, fractional coordinates:
Cs 0.000 0.000 0.000 (multiplicity 1)
Cd 0.000 0.500 0.500 (multiplicity 3)
Co 0.500 0.500 0.500 (multiplicity 1)

Stability check: which of them is least stable? arrangement a.

Arrangement a

VASP calculation (PBE) on crystalline CsCd2Co at its relaxed geometry.

Unit cell a=6.141 b=6.141 c=16.509 alpha=90.00 beta=90.00 gamma=90.00
Space group I4_1/amd (No. 141, origin choice 2)
Inequivalent atoms, fractional coordinates:
Cs 0.000 0.250 0.375 (multiplicity 4)
Cd 0.000 0.000 0.000 (multiplicity 8)
Co 0.000 0.250 0.875 (multiplicity 4)

Arrangement b

VASP calculation (PBE) on crystalline CsCd2Co at its relaxed geometry.

Unit cell a=7.892 b=7.892 c=7.892 alpha=90.00 beta=90.00 gamma=90.00
Space group Fm-3m (No. 225)
Inequivalent atoms, fractional coordinates:
Cs 0.000 0.000 0.000 (multiplicity 4)
Cd 0.250 0.250 0.250 (multiplicity 8)
Co 0.000 0.000 0.500 (multiplicity 4)

Stability check: which of them is least stable? arrangement b.

Arrangement a

VASP calculation (PBE) on crystalline CdCo2Cu2 at its relaxed geometry.

Unit cell a=7.144 b=7.144 c=2.665 alpha=90.00 beta=90.00 gamma=90.00
Space group P4/mbm (No. 127)
Inequivalent atoms, fractional coordinates:
Cd 0.000 0.000 0.000 (multiplicity 2)
Co 0.114 0.386 0.000 (multiplicity 4)
Cu 0.179 0.679 0.500 (multiplicity 4)

Arrangement b

VASP calculation (PBE) on crystalline CdCo2Cu2 at its relaxed geometry.

Unit cell a=7.100 b=7.100 c=2.676 alpha=90.00 beta=90.00 gamma=90.00
Space group P4/mbm (No. 127)
Inequivalent atoms, fractional coordinates:
Cd 0.000 0.000 0.000 (multiplicity 2)
Co 0.169 0.331 0.500 (multiplicity 4)
Cu 0.125 0.625 0.000 (multiplicity 4)

Stability check: which of them is least stable? arrangement b.

Arrangement a

VASP calculation (PBE) on crystalline La2CdCoCu at its relaxed geometry.

Unit cell a=5.197 b=5.197 c=4.761 alpha=90.00 beta=90.00 gamma=90.00
Space group P4/mmm (No. 123)
Inequivalent atoms, fractional coordinates:
La 0.000 0.500 0.000 (multiplicity 2)
Cd 0.000 0.000 0.500 (multiplicity 1)
Co 0.500 0.500 0.000 (multiplicity 1)
Cu 0.500 0.500 0.500 (multiplicity 1)

Arrangement b

VASP calculation (PBE) on crystalline La2CdCoCu at its relaxed geometry.

Unit cell a=5.184 b=5.184 c=4.991 alpha=90.00 beta=90.00 gamma=90.00
Space group P4/mmm (No. 123)
Inequivalent atoms, fractional coordinates:
La 0.000 0.500 0.000 (multiplicity 2)
Cd 0.000 0.000 0.500 (multiplicity 1)
Co 0.000 0.000 0.000 (multiplicity 1)
Cu 0.500 0.500 0.500 (multiplicity 1)

Stability check: which of them is least stable? arrangement b.

Arrangement a

VASP calculation (PBE) on crystalline DyScCdCo at its relaxed geometry.

Unit cell a=6.913 b=6.913 c=6.913 alpha=90.00 beta=90.00 gamma=90.00
Space group F-43m (No. 216)
Inequivalent atoms, fractional coordinates:
Dy 0.000 0.000 0.000 (multiplicity 4)
Sc 0.000 0.000 0.500 (multiplicity 4)
Cd 0.250 0.250 0.750 (multiplicity 4)
Co 0.250 0.250 0.250 (multiplicity 4)

Arrangement b

VASP calculation (PBE) on crystalline DyScCdCo at its relaxed geometry.

Unit cell a=3.307 b=3.307 c=7.479 alpha=90.00 beta=90.00 gamma=90.00
Space group P4mm (No. 99)
Inequivalent atoms, fractional coordinates:
Dy 0.000 0.000 0.000 (multiplicity 1)
Sc 0.000 0.000 0.579 (multiplicity 1)
Cd 0.500 0.500 0.310 (multiplicity 1)
Co 0.500 0.500 0.767 (multiplicity 1)

Stability check: which of them is least stable? arrangement a.

Arrangement a

VASP calculation (PBE) on crystalline TbDyCdCo at its relaxed geometry.

Unit cell a=7.133 b=7.133 c=7.133 alpha=90.00 beta=90.00 gamma=90.00
Space group F-43m (No. 216)
Inequivalent atoms, fractional coordinates:
Tb 0.000 0.000 0.000 (multiplicity 4)
Dy 0.000 0.000 0.500 (multiplicity 4)
Cd 0.250 0.250 0.750 (multiplicity 4)
Co 0.250 0.250 0.250 (multiplicity 4)

Arrangement b

VASP calculation (PBE) on crystalline TbDyCdCo at its relaxed geometry.

Unit cell a=3.439 b=3.439 c=7.641 alpha=90.00 beta=90.00 gamma=90.00
Space group P4mm (No. 99)
Inequivalent atoms, fractional coordinates:
Tb 0.000 0.000 0.000 (multiplicity 1)
Dy 0.000 0.000 0.575 (multiplicity 1)
Cd 0.500 0.500 0.289 (multiplicity 1)
Co 0.500 0.500 0.786 (multiplicity 1)

Stability check: which of them is least stable? arrangement a.

Arrangement a

VASP calculation (PBE) on crystalline DyTmCdCo at its relaxed geometry.

Unit cell a=7.065 b=7.065 c=7.065 alpha=90.00 beta=90.00 gamma=90.00
Space group F-43m (No. 216)
Inequivalent atoms, fractional coordinates:
Dy 0.000 0.000 0.000 (multiplicity 4)
Tm 0.000 0.000 0.500 (multiplicity 4)
Cd 0.250 0.250 0.250 (multiplicity 4)
Co 0.250 0.250 0.750 (multiplicity 4)

Arrangement b

VASP calculation (PBE) on crystalline DyTmCdCo at its relaxed geometry.

Unit cell a=3.399 b=3.399 c=7.601 alpha=90.00 beta=90.00 gamma=90.00
Space group P4mm (No. 99)
Inequivalent atoms, fractional coordinates:
Dy 0.000 0.000 0.000 (multiplicity 1)
Tm 0.000 0.000 0.576 (multiplicity 1)
Cd 0.500 0.500 0.293 (multiplicity 1)
Co 0.500 0.500 0.783 (multiplicity 1)

Stability check: which of them is least stable? arrangement a.

Arrangement a

VASP calculation (PBE) on crystalline Er6Cd3Co at its relaxed geometry.

Unit cell a=8.998 b=5.236 c=11.243 alpha=90.00 beta=108.87 gamma=90.00
Space group P2_1/m (No. 11)
Inequivalent atoms, fractional coordinates:
Er 0.033 0.250 0.416 (multiplicity 2)
Er 0.198 0.750 0.163 (multiplicity 2)
Er 0.284 0.250 0.004 (multiplicity 2)
Er 0.348 0.750 0.837 (multiplicity 2)
Er 0.380 0.250 0.352 (multiplicity 2)
Er 0.389 0.250 0.657 (multiplicity 2)
Cd 0.004 0.750 0.870 (multiplicity 2)
Cd 0.078 0.250 0.722 (multiplicity 2)
Cd 0.269 0.750 0.475 (multiplicity 2)
Co 0.463 0.750 0.092 (multiplicity 2)

Arrangement b

VASP calculation (PBE) on crystalline Er6Cd3Co at its relaxed geometry.

Unit cell a=9.022 b=11.102 c=5.116 alpha=90.00 beta=90.00 gamma=90.00
Space group Pnnm (No. 58)
Inequivalent atoms, fractional coordinates:
Er 0.018 0.231 0.000 (multiplicity 4)
Er 0.154 0.076 0.500 (multiplicity 4)
Er 0.196 0.413 0.500 (multiplicity 4)
Cd 0.000 0.500 0.000 (multiplicity 2)
Cd 0.149 0.719 0.500 (multiplicity 4)
Co 0.000 0.000 0.000 (multiplicity 2)

Stability check: which of them is least stable? arrangement b.

Arrangement a

VASP calculation (PBE) on crystalline Er5Cd2Co at its relaxed geometry.

Unit cell a=5.562 b=11.980 c=12.533 alpha=90.00 beta=90.00 gamma=90.00
Space group Cmcm (No. 63)
Inequivalent atoms, fractional coordinates:
Er 0.000 0.081 0.106 (multiplicity 8)
Er 0.000 0.371 0.063 (multiplicity 8)
Er 0.000 0.411 0.750 (multiplicity 4)
Cd 0.000 0.186 0.637 (multiplicity 8)
Co 0.000 0.238 0.250 (multiplicity 4)

Arrangement b

VASP calculation (PBE) on crystalline Er5Cd2Co at its relaxed geometry.

Unit cell a=8.726 b=12.627 c=3.880 alpha=90.00 beta=90.00 gamma=90.00
Space group Pbam (No. 55)
Inequivalent atoms, fractional coordinates:
Er 0.000 0.000 0.000 (multiplicity 2)
Er 0.158 0.323 0.000 (multiplicity 4)
Er 0.173 0.574 0.500 (multiplicity 4)
Cd 0.048 0.816 0.500 (multiplicity 4)
Co 0.000 0.500 0.000 (multiplicity 2)

Stability check: which of them is least stable? arrangement a.

Arrangement a

VASP calculation (PBE) on crystalline Er2CdCo at its relaxed geometry.

Unit cell a=7.049 b=7.049 c=7.049 alpha=90.00 beta=90.00 gamma=90.00
Space group Fm-3m (No. 225)
Inequivalent atoms, fractional coordinates:
Er 0.250 0.250 0.250 (multiplicity 8)
Cd 0.000 0.000 0.000 (multiplicity 4)
Co 0.000 0.000 0.500 (multiplicity 4)

Arrangement b

VASP calculation (PBE) on crystalline Er2CdCo at its relaxed geometry.

Unit cell a=3.392 b=3.392 c=7.576 alpha=90.00 beta=90.00 gamma=90.00
Space group P4/mmm (No. 123)
Inequivalent atoms, fractional coordinates:
Er 0.000 0.000 0.212 (multiplicity 2)
Cd 0.500 0.500 0.500 (multiplicity 1)
Co 0.500 0.500 0.000 (multiplicity 1)

Stability check: which of them is least stable? arrangement a.